No. 1
Density functional theory data (PBE-GGA) for Ba2Li12Pd5 after structural relaxation.

Calculated values
SG: No. 166

a = 7.2473 Å, b = 7.2473 Å, c = 7.2473 Å
α = 84.37°, β = 84.37°, γ = 84.37°
Last column: nearest neighbours and their distance in Å.
Fractional positions:
Li  0.7415  0.0000  0.2585  4 Li 2.52-2.81, 2 Pd 2.69
Li  0.0000  0.7415  0.2585  4 Li 2.52-2.81, 2 Pd 2.69
Li  0.3307  0.8821  0.3307  3 Pd 2.68-2.75, 2 Li 2.81
Li  0.2585  0.7415  0.0000  4 Li 2.52-2.81, 2 Pd 2.69
Li  0.1179  0.6693  0.6693  3 Pd 2.68-2.75, 2 Li 2.81
Li  0.3307  0.3307  0.8821  3 Pd 2.68-2.75, 2 Li 2.81
Li  0.6693  0.1179  0.6693  3 Pd 2.68-2.75, 2 Li 2.81
Li  0.6693  0.6693  0.1179  3 Pd 2.68-2.75, 2 Li 2.81
Li  0.2585  0.0000  0.7415  4 Li 2.52-2.81, 2 Pd 2.69
Li  0.8821  0.3307  0.3307  3 Pd 2.68-2.75, 2 Li 2.81
Li  0.0000  0.2585  0.7415  4 Li 2.52-2.81, 2 Pd 2.69
Li  0.7415  0.2585  0.0000  4 Li 2.52-2.81, 2 Pd 2.69
Pd  0.0000  0.5000  0.0000  8 Li 2.68-2.69, 2 Pd 2.95
Pd  0.0000  0.0000  0.5000  8 Li 2.68-2.69, 2 Pd 2.95
Pd  0.5000  0.0000  0.0000  8 Li 2.68-2.69, 2 Pd 2.95
Pd  0.8984  0.8984  0.8984  9 Li 2.75-2.88, 4 Pd 2.79-2.95
Pd  0.1016  0.1016  0.1016  9 Li 2.75-2.88, 4 Pd 2.79-2.95
Ba  0.3295  0.3295  0.3295  1 Pd 3.13, 3 Li 3.24
Ba  0.6705  0.6705  0.6705  1 Pd 3.13, 3 Li 3.24

=====

No. 2
Density functional theory data (PBE-GGA) for BaLi4Pd after structural relaxation.

Calculated values
Energy above the most stable polymorph in this dataset (meV per atom): 0.0
SG: No. 15

a = 8.1124 Å, b = 5.5948 Å, c = 7.5139 Å
α = 81.54°, β = 122.65°, γ = 90.01°
Last column: nearest neighbours and their distance in Å.
Fractional positions:
Li  0.4591  0.2393  0.7588  1 Pd 2.67, 3 Li 2.72-2.98
Li  0.7000  0.2609  0.2409  1 Pd 2.67, 3 Li 2.72-2.98
Li  0.2985  0.6152  0.4209  2 Pd 2.64-2.84, 2 Li 2.72-2.73
Li  0.5409  0.7607  0.2412  1 Pd 2.67, 3 Li 2.72-2.98
Li  0.8776  0.8850  0.5790  2 Pd 2.64-2.84, 2 Li 2.72-2.73
Li  0.1224  0.1150  0.4210  2 Pd 2.64-2.84, 2 Li 2.72-2.73
Li  0.7015  0.3848  0.5791  2 Pd 2.64-2.84, 2 Li 2.72-2.73
Li  0.3000  0.7391  0.7591  1 Pd 2.67, 3 Li 2.72-2.98
Ba  0.8032  0.7500  0.0000  2 Pd 3.26, 6 Li 3.41-3.51
Ba  0.1968  0.2500  0.0000  2 Pd 3.26, 6 Li 3.41-3.51
Pd  0.5000  0.0000  0.5000  6 Li 2.64-2.84
Pd  0.0000  0.5000  0.5000  6 Li 2.64-2.84

=====

No. 3
Density functional theory data (PBE-GGA) for Ba4Li3Pd after structural relaxation.

Calculated values
SG: No. 25

a = 4.8907 Å, b = 4.9226 Å, c = 13.1981 Å
α = 90.00°, β = 90.00°, γ = 90.00°
Last column: nearest neighbours and their distance in Å.
Fractional positions:
Pd  0.5000  0.5000  0.0613  2 Li 2.79
Li  0.0000  0.5000  0.5554  2 Li 2.97
Li  0.0000  0.0000  0.4293  2 Li 2.97
Li  0.5000  0.0000  0.9610  2 Pd 2.79
Ba  0.5000  0.5000  0.3299  1 Pd 3.55, 6 Li 3.71-3.85
Ba  0.0000  0.0000  0.1346  2 Li 3.35, 4 Pd 3.60
Ba  0.5000  0.0000  0.6490  7 Li 3.68-4.12
Ba  0.0000  0.5000  0.8794  2 Pd 3.43, 4 Li 3.63

=====

No. 4
Density functional theory data (PBE-GGA) for Ba2LiPd after structural relaxation.

Calculated values
SG: No. 122

a = 9.0836 Å, b = 9.0836 Å, c = 7.4862 Å
α = 52.65°, β = 52.65°, γ = 90.00°
Last column: nearest neighbours and their distance in Å.
Fractional positions:
Li  0.5000  0.5000  0.0000  8 Ba 3.67-4.10, 2 Pd 3.85
Li  0.2500  0.7500  0.5000  8 Ba 3.67-4.10, 2 Pd 3.85
Ba  0.3750  0.3257  0.7500  2 Pd 3.07
Ba  0.0757  0.6250  0.2500  2 Pd 3.07
Ba  0.6743  0.1250  0.2500  2 Pd 3.07
Ba  0.8750  0.9243  0.7500  2 Pd 3.07
Pd  0.7500  0.2500  0.5000  4 Ba 3.07
Pd  0.0000  0.0000  0.0000  4 Ba 3.07

=====

No. 5
Density functional theory data (PBE-GGA) for BaLi3Pd2 after structural relaxation.

Calculated values
Energy above the most stable polymorph in this dataset (meV per atom): 42.0
SG: No. 191

a = 4.2270 Å, b = 5.8201 Å, c = 5.8212 Å
α = 119.99°, β = 90.00°, γ = 90.00°
Last column: nearest neighbours and their distance in Å.
Fractional positions:
Li  0.5000  0.5013  0.0000  4 Pd 2.70, 4 Li 2.91
Li  0.5000  0.0012  0.5000  4 Pd 2.70, 4 Li 2.91
Li  0.5000  0.5013  0.5000  4 Pd 2.70, 4 Li 2.91
Ba  0.0000  0.0012  0.0000  6 Pd 3.36, 12 Li 3.60
Pd  0.0000  0.3345  0.6665  6 Li 2.70
Pd  0.0000  0.6680  0.3335  6 Li 2.70

=====

No. 6
Density functional theory data (PBE-GGA) for BaLi2Pd after structural relaxation.

Calculated values
Energy above the most stable polymorph in this dataset (meV per atom): 0.0
SG: No. 8

a = 4.5650 Å, b = 4.5650 Å, c = 6.3328 Å
α = 68.81°, β = 68.81°, γ = 60.03°
Last column: nearest neighbours and their distance in Å.
Fractional positions:
Li  0.0092  0.0092  0.9722  3 Pd 2.65, 3 Li 2.71
Li  0.3061  0.3061  0.0819  3 Li 2.71, 3 Pd 2.79-2.80
Pd  0.6930  0.6930  0.9205  6 Li 2.65-2.80
Ba  0.4916  0.4916  0.5254  1 Li 3.20, 4 Pd 3.48

=====

No. 7
Density functional theory data (PBE-GGA) for BaLiPd3 after structural relaxation.

Calculated values
Energy above the most stable polymorph in this dataset (meV per atom): 0.0
SG: No. 194

a = 5.6866 Å, b = 6.3980 Å, c = 6.3974 Å
α = 120.00°, β = 90.00°, γ = 90.00°
Last column: nearest neighbours and their distance in Å.
Fractional positions:
Pd  0.2499  0.8160  0.6319  2 Li 2.49
Pd  0.2499  0.3680  0.1840  2 Li 2.49
Pd  0.7501  0.6320  0.8160  2 Li 2.49
Pd  0.7501  0.1841  0.8160  2 Li 2.49
Pd  0.2499  0.8159  0.1840  2 Li 2.49
Pd  0.7501  0.1840  0.3681  2 Li 2.49
Ba  0.7499  0.6667  0.3334  12 Pd 3.20-3.29
Ba  0.2501  0.3333  0.6666  12 Pd 3.20-3.29
Li  0.0000  0.0000  0.0000  6 Pd 2.49
Li  0.5000  0.0000  0.0000  6 Pd 2.49

=====

No. 8
Density functional theory data (PBE-GGA) for Ba3LiPd after structural relaxation.

Calculated values
Energy above the most stable polymorph in this dataset (meV per atom): 14.9
SG: No. 221

a = 6.2950 Å, b = 6.2950 Å, c = 6.2950 Å
α = 90.00°, β = 90.00°, γ = 90.00°
Last column: nearest neighbours and their distance in Å.
Fractional positions:
Ba  0.0000  0.0000  0.5000  2 Pd 3.15
Ba  0.0000  0.5000  0.0000  2 Pd 3.15
Ba  0.5000  0.0000  0.0000  2 Pd 3.15
Pd  0.0000  0.0000  0.0000  6 Ba 3.15
Li  0.5000  0.5000  0.5000  12 Ba 4.45

=====

No. 9
Density functional theory data (PBE-GGA) for Ba5LiPd2 after structural relaxation.

Calculated values
SG: No. 71

a = 4.7956 Å, b = 8.3661 Å, c = 9.9930 Å
α = 114.75°, β = 103.88°, γ = 90.00°
Last column: nearest neighbours and their distance in Å.
Fractional positions:
Ba  0.6559  0.9135  0.3118  3 Pd 3.27-3.41
Ba  0.3441  0.0865  0.6882  3 Pd 3.27-3.41
Ba  0.0000  0.5000  0.0000  2 Pd 3.29
Ba  0.3441  0.6017  0.6882  3 Pd 3.27-3.41
Ba  0.6559  0.3983  0.3118  3 Pd 3.27-3.41
Pd  0.8122  0.3122  0.6244  7 Ba 3.27-3.41
Pd  0.1878  0.6878  0.3756  7 Ba 3.27-3.41
Li  0.0000  0.0000  0.0000  10 Ba 4.16-4.18

=====

No. 10
Density functional theory data (PBE-GGA) for BaLi3Pd2 after structural relaxation.

Calculated values
Energy above the most stable polymorph in this dataset (meV per atom): 0.0
SG: No. 12

a = 4.3427 Å, b = 8.2625 Å, c = 8.0829 Å
α = 113.91°, β = 90.00°, γ = 105.24°
Last column: nearest neighbours and their distance in Å.
Fractional positions:
Ba  0.8522  0.7044  0.9390  7 Pd 3.37-3.39, 7 Li 3.55-3.73
Ba  0.1478  0.2956  0.0610  7 Pd 3.37-3.39, 7 Li 3.55-3.73
Pd  0.8125  0.6250  0.3195  6 Li 2.59-2.81
Pd  0.1875  0.3750  0.6805  6 Li 2.59-2.81
Pd  0.5215  0.0429  0.1807  4 Li 2.61-2.64, 1 Pd 2.71
Pd  0.4785  0.9571  0.8193  4 Li 2.61-2.64, 1 Pd 2.71
Li  0.4121  0.8241  0.3477  3 Pd 2.62-2.64, 2 Li 2.64-2.85
Li  0.3140  0.6279  0.5419  4 Pd 2.64-2.81, 3 Li 2.64-2.86
Li  0.9576  0.9152  0.6264  3 Pd 2.59-2.61, 1 Li 2.89
Li  0.0424  0.0848  0.3736  3 Pd 2.59-2.61, 1 Li 2.89
Li  0.5879  0.1759  0.6523  3 Pd 2.62-2.64, 2 Li 2.64-2.85
Li  0.6860  0.3721  0.4581  4 Pd 2.64-2.81, 3 Li 2.64-2.86

=====

Short version: total magnetic moment = 0.00, 0.00, 0.00, 0.00, 0.00, 0.00, 0.00, 0.00, 0.00, 0.00 Bohr magnetons per cell, in the order given.
Short version: energy of formation from the pure elements = -273, -162, -109, -46, -327, -288, -278, -195, -275, -369 meV per atom, in the order given.
Short version: DOS at the Fermi energy = 8.6, 4.4, 8.0, 9.5, 2.7, 1.9, 2.6, 3.5, 6.1, 3.8 states/eV per cell, in the order given.